Record 1
Computed, not measured: crystalline YCoNi at its relaxed geometry at the PBE-GGA level of DFT.

Unit cell a=5.1097 b=5.1097 c=5.1097 alpha=122.01 beta=120.04 gamma=88.24
Positions (direct):
Y  0.3722  0.1222  0.2500
Y  0.6278  0.8778  0.7500
Co  0.0000  0.0000  0.5000
Co  0.0000  0.5000  0.0000
Ni  0.0000  0.5000  0.5000
Ni  0.5000  0.5000  0.0000

Output
Relative energy among the computed polymorphs: 0 meV per atom
E_tot: -6.73 eV per atom
Size of the total moment: 0.9 μB/f.u.



Record 2
Computed, not measured: crystalline Y3Co2Ni7 at its relaxed geometry at the PBE-GGA level of DFT.

Unit cell a=8.6491 b=8.6491 c=8.6491 alpha=33.42 beta=33.42 gamma=33.42
Positions (direct):
Y  0.0000  0.0000  0.0000
Y  0.1385  0.1385  0.1385
Y  0.8615  0.8615  0.8615
Co  0.3328  0.3328  0.3328
Co  0.6672  0.6672  0.6672
Ni  0.0810  0.5811  0.5811
Ni  0.4189  0.4189  0.9190
Ni  0.4189  0.9190  0.4189
Ni  0.5000  0.5000  0.5000
Ni  0.5811  0.0810  0.5811
Ni  0.5811  0.5811  0.0810
Ni  0.9190  0.4189  0.4189

Output
E_tot: -6.50 eV per atom
Size of the total moment: 3.8 μB/f.u.



Record 3
Computed, not measured: crystalline Y3Co7Ni2 at its relaxed geometry at the PBE-GGA level of DFT.

Unit cell a=8.7116 b=8.7116 c=8.7116 alpha=33.04 beta=33.04 gamma=33.04
Positions (direct):
Y  0.0000  0.0000  0.0000
Y  0.1394  0.1394  0.1394
Y  0.8606  0.8606  0.8606
Co  0.0812  0.5812  0.5812
Co  0.4188  0.4188  0.9188
Co  0.4188  0.9188  0.4188
Co  0.5000  0.5000  0.5000
Co  0.5812  0.0812  0.5812
Co  0.5812  0.5812  0.0812
Co  0.9188  0.4188  0.4188
Ni  0.3335  0.3335  0.3335
Ni  0.6665  0.6665  0.6665

Output
E_tot: -6.93 eV per atom
Size of the total moment: 8.3 μB/f.u.



Record 4
Computed, not measured: crystalline Y6CoNi at its relaxed geometry at the PBE-GGA level of DFT.

Unit cell a=9.5523 b=6.3418 c=6.9343 alpha=90.00 beta=90.00 gamma=90.00
Positions (direct):
Y  0.0000  0.1096  0.0000
Y  0.0000  0.8904  0.5000
Y  0.1800  0.4302  0.6337
Y  0.1800  0.5698  0.1337
Y  0.3147  0.0734  0.2808
Y  0.3147  0.9266  0.7808
Y  0.5000  0.3899  0.9218
Y  0.5000  0.6101  0.4218
Y  0.6853  0.0734  0.2808
Y  0.6853  0.9266  0.7808
Y  0.8200  0.4302  0.6337
Y  0.8200  0.5698  0.1337
Co  0.0000  0.2939  0.3467
Co  0.0000  0.7061  0.8467
Ni  0.5000  0.1957  0.5676
Ni  0.5000  0.8043  0.0676

Output
E_tot: -6.65 eV per atom
Size of the total moment: 0.0 μB/f.u.



Record 5
Computed, not measured: crystalline YCoNi2 at its relaxed geometry at the PBE-GGA level of DFT.

Unit cell a=4.7207 b=4.7207 c=4.7207 alpha=130.92 beta=130.92 gamma=71.94
Positions (direct):
Y  0.0000  0.0000  0.0000
Co  0.5000  0.5000  0.0000
Ni  0.2500  0.7500  0.5000
Ni  0.7500  0.2500  0.5000

Output
Relative energy among the computed polymorphs: 204 meV per atom
E_tot: -6.29 eV per atom
Size of the total moment: 1.8 μB/f.u.



Record 6
Computed, not measured: crystalline YCoNi at its relaxed geometry at the PBE-GGA level of DFT.

Unit cell a=4.2979 b=4.2979 c=4.2979 alpha=60.00 beta=60.00 gamma=60.00
Positions (direct):
Y  0.0000  0.0000  0.0000
Co  0.5000  0.5000  0.5000
Ni  0.7500  0.7500  0.7500

Output
Relative energy among the computed polymorphs: 463 meV per atom
E_tot: -6.27 eV per atom
Size of the total moment: 1.4 μB/f.u.



Record 7
Computed, not measured: crystalline YCoNi at its relaxed geometry at the PBE-GGA level of DFT.

Unit cell a=3.9237 b=3.9237 c=3.8660 alpha=90.00 beta=90.00 gamma=120.00
Positions (direct):
Y  0.0000  0.0000  0.0000
Co  0.3333  0.6667  0.5000
Ni  0.6667  0.3333  0.5000

Output
Relative energy among the computed polymorphs: 43 meV per atom
E_tot: -6.69 eV per atom
Size of the total moment: 0.2 μB/f.u.



Record 8
Computed, not measured: crystalline YCoNi2 at its relaxed geometry at the PBE-GGA level of DFT.

Unit cell a=4.3574 b=4.3574 c=4.3574 alpha=60.00 beta=60.00 gamma=60.00
Positions (direct):
Y  0.0000  0.0000  0.0000
Co  0.7500  0.7500  0.7500
Ni  0.2500  0.2500  0.2500
Ni  0.5000  0.5000  0.5000

Output
Relative energy among the computed polymorphs: 279 meV per atom
E_tot: -6.21 eV per atom
Size of the total moment: 1.2 μB/f.u.



Record 9
Computed, not measured: crystalline YCoNi2 at its relaxed geometry at the PBE-GGA level of DFT.

Unit cell a=4.0334 b=4.0334 c=5.1473 alpha=112.95 beta=112.95 gamma=59.97
Positions (direct):
Y  0.0000  0.0000  0.0000
Co  0.8060  0.8060  0.4195
Ni  0.1975  0.1975  0.5940
Ni  0.4880  0.4880  0.4652

Output
Relative energy among the computed polymorphs: 25 meV per atom
E_tot: -6.47 eV per atom
Size of the total moment: 1.5 μB/f.u.



Record 10
Computed, not measured: crystalline Y2ZnCo3Ni12 at its relaxed geometry at the PBE-GGA level of DFT.

Unit cell a=6.2257 b=6.2257 c=6.2257 alpha=83.45 beta=83.45 gamma=83.45
Positions (direct):
Y  0.2286  0.2286  0.2286
Y  0.7714  0.7714  0.7714
Zn  0.5000  0.5000  0.5000
Co  0.0000  0.5000  0.5000
Co  0.5000  0.0000  0.5000
Co  0.5000  0.5000  0.0000
Ni  0.0795  0.0795  0.6479
Ni  0.0795  0.6479  0.0795
Ni  0.2235  0.6995  0.6995
Ni  0.3005  0.3005  0.7765
Ni  0.3005  0.7765  0.3005
Ni  0.3521  0.9205  0.9205
Ni  0.6479  0.0795  0.0795
Ni  0.6995  0.2235  0.6995
Ni  0.6995  0.6995  0.2235
Ni  0.7765  0.3005  0.3005
Ni  0.9205  0.3521  0.9205
Ni  0.9205  0.9205  0.3521

Output
E_tot: -5.77 eV per atom
Size of the total moment: 8.4 μB/f.u.



Record 11
Computed, not measured: crystalline YZrCoNi at its relaxed geometry at the PBE-GGA level of DFT.

Unit cell a=4.6470 b=4.6470 c=4.6470 alpha=60.00 beta=60.00 gamma=60.00
Positions (direct):
Y  0.0000  0.0000  0.0000
Zr  0.5000  0.5000  0.5000
Co  0.2500  0.2500  0.2500
Ni  0.7500  0.7500  0.7500

Output
E_tot: -7.21 eV per atom
Size of the total moment: 0.5 μB/f.u.



Record 12
Computed, not measured: crystalline ZnCoNi at its relaxed geometry at the PBE-GGA level of DFT.

Unit cell a=4.4037 b=4.4037 c=4.9355 alpha=117.16 beta=117.16 gamma=59.95
Positions (direct):
Zn  0.1664  0.1664  0.4984
Zn  0.8336  0.8336  0.5016
Co  0.6589  0.0034  0.9999
Co  0.9966  0.3411  0.0001
Ni  0.3357  0.6643  0.0000
Ni  0.4997  0.5003  0.5000

Output
Relative energy among the computed polymorphs: 43 meV per atom
E_tot: -4.75 eV per atom
Size of the total moment: 1.8 μB/f.u.



Copy entry 11 word for word.
Computed, not measured: crystalline YZrCoNi at its relaxed geometry at the PBE-GGA level of DFT.

Unit cell a=4.6470 b=4.6470 c=4.6470 alpha=60.00 beta=60.00 gamma=60.00
Positions (direct):
Y  0.0000  0.0000  0.0000
Zr  0.5000  0.5000  0.5000
Co  0.2500  0.2500  0.2500
Ni  0.7500  0.7500  0.7500

Output
E_tot: -7.21 eV per atom
Size of the total moment: 0.5 μB/f.u.



Which of these has the highest size of the total moment?
Y2ZnCo3Ni12



What did the tenth record say?
Computed, not measured: crystalline Y2ZnCo3Ni12 at its relaxed geometry at the PBE-GGA level of DFT.

Unit cell a=6.2257 b=6.2257 c=6.2257 alpha=83.45 beta=83.45 gamma=83.45
Positions (direct):
Y  0.2286  0.2286  0.2286
Y  0.7714  0.7714  0.7714
Zn  0.5000  0.5000  0.5000
Co  0.0000  0.5000  0.5000
Co  0.5000  0.0000  0.5000
Co  0.5000  0.5000  0.0000
Ni  0.0795  0.0795  0.6479
Ni  0.0795  0.6479  0.0795
Ni  0.2235  0.6995  0.6995
Ni  0.3005  0.3005  0.7765
Ni  0.3005  0.7765  0.3005
Ni  0.3521  0.9205  0.9205
Ni  0.6479  0.0795  0.0795
Ni  0.6995  0.2235  0.6995
Ni  0.6995  0.6995  0.2235
Ni  0.7765  0.3005  0.3005
Ni  0.9205  0.3521  0.9205
Ni  0.9205  0.9205  0.3521

Output
E_tot: -5.77 eV per atom
Size of the total moment: 8.4 μB/f.u.



Which value of E_tot does entry 1 give?
-6.73 eV per atom